Entry 1:
A plane-wave DFT calculation with PBE was carried out for InIr2Pt after structural relaxation.

Output
- Calculated volume: 16.2 Å³/atom
- Energy of formation from the pure elements: 0.51 eV/f.u.
- Total DFT energy (no corrections): -0.478 Ry/atom

Cell lengths 2.8891, 2.8891, 7.7469 Å; angles 90.00, 90.00, 90.00 degrees
Closest atoms and distances in Å follow each position.
Atoms (fractional coordinates):
In 0.0000 0.0000 0.0000  8 Ir 2.87, 4 In 2.89
Ir 0.5000 0.5000 0.2601  4 Pt 2.76, 4 In 2.87, 4 Ir 2.89
Ir 0.5000 0.5000 0.7399  4 Pt 2.76, 4 In 2.87, 4 Ir 2.89
Pt 0.0000 0.0000 0.5000  8 Ir 2.76, 4 Pt 2.89



Entry 2:
A plane-wave DFT calculation with PBE was carried out for Tl5HgBi after structural relaxation.

Output
- Calculated volume: 31.7 Å³/atom
- Energy of formation from the pure elements: 0.00 eV/f.u.
- Total DFT energy (no corrections): -0.168 Ry/atom
- ΔE to the lowest computed polymorph: 0.000 eV/atom

Cell lengths 8.9032, 8.9032, 6.5506 Å; angles 98.70, 98.70, 60.32 degrees
Closest atoms and distances in Å follow each position.
Atoms (fractional coordinates):
Tl 0.0787 0.2887 0.9819  1 Hg 3.12, 1 Tl 3.28, 1 Bi 3.33
Tl 0.1538 0.8462 0.7500  3 Hg 3.29-3.32, 4 Tl 3.54-3.61
Tl 0.2887 0.0787 0.4819  1 Hg 3.12, 1 Tl 3.28, 1 Bi 3.33
Tl 0.3773 0.4024 0.8427  1 Hg 3.27, 5 Tl 3.28-3.66, 2 Bi 3.46-3.53
Tl 0.4024 0.3773 0.3427  1 Hg 3.27, 5 Tl 3.28-3.66, 2 Bi 3.46-3.53
Tl 0.5976 0.6227 0.6573  1 Hg 3.27, 5 Tl 3.28-3.66, 2 Bi 3.46-3.53
Tl 0.6227 0.5976 0.1573  1 Hg 3.27, 5 Tl 3.28-3.66, 2 Bi 3.46-3.53
Tl 0.7113 0.9213 0.5181  1 Hg 3.12, 1 Tl 3.28, 1 Bi 3.33
Tl 0.8462 0.1538 0.2500  3 Hg 3.29-3.32, 4 Tl 3.54-3.61
Tl 0.9213 0.7113 0.0181  1 Hg 3.12, 1 Tl 3.28, 1 Bi 3.33
Hg 0.2144 0.7856 0.2500  7 Tl 3.12-3.32
Hg 0.7856 0.2144 0.7500  7 Tl 3.12-3.32
Bi 0.0000 0.5000 0.5000  10 Tl 3.33-3.72
Bi 0.5000 0.0000 0.0000  10 Tl 3.33-3.72



Entry 3:
A plane-wave DFT calculation with PBE was carried out for MoPt2Pb after structural relaxation.

Output
- Calculated volume: 18.3 Å³/atom
- Energy of formation from the pure elements: 0.61 eV/f.u.
- Total DFT energy (no corrections): -0.478 Ry/atom

Cell lengths 9.7987, 9.7987, 9.7987 Å; angles 17.39, 17.39, 17.39 degrees
Closest atoms and distances in Å follow each position.
Atoms (fractional coordinates):
Mo 0.0000 0.0000 0.0000  6 Pt 2.76, 6 Mo 2.96
Pt 0.2587 0.2587 0.2587  3 Mo 2.76, 6 Pt 2.96
Pt 0.7413 0.7413 0.7413  3 Mo 2.76, 6 Pt 2.96
Pb 0.5000 0.5000 0.5000  6 Pb 2.96, 6 Pt 3.17



Entry 4:
A plane-wave DFT calculation with PBE was carried out for V2NiH after structural relaxation.

Output
- Calculated volume: 10.0 Å³/atom
- Total DFT energy (no corrections): -0.497 Ry/atom

Cell lengths 2.5395, 2.5395, 6.1857 Å; angles 90.00, 90.00, 90.00 degrees
Closest atoms and distances in Å follow each position.
Atoms (fractional coordinates):
V 0.0000 0.0000 0.1977  4 H 2.17
V 0.0000 0.0000 0.8023  4 H 2.17
Ni 0.5000 0.5000 0.5000  4 Ni 2.54, 8 V 2.59
H 0.5000 0.5000 0.0000  8 V 2.17



Entry 5:
A plane-wave DFT calculation with PBE was carried out for TbCu9Sn2 after structural relaxation.

Output
- Calculated volume: 15.2 Å³/atom
- Energy of formation from the pure elements: -1.38 eV/f.u.
- Total DFT energy (no corrections): -0.312 Ry/atom
- ΔE to the lowest computed polymorph: 0.041 eV/atom

Cell lengths 8.6706, 8.6706, 8.6706 Å; angles 34.08, 34.08, 34.08 degrees
Closest atoms and distances in Å follow each position.
Atoms (fractional coordinates):
Tb 0.0000 0.0000 0.0000  18 Cu 2.93-3.26
Cu 0.0807 0.5846 0.5846  7 Cu 2.51-2.56
Cu 0.3338 0.3338 0.3338  6 Cu 2.51
Cu 0.4154 0.4154 0.9193  7 Cu 2.51-2.56
Cu 0.4154 0.9193 0.4154  7 Cu 2.51-2.56
Cu 0.5000 0.5000 0.5000  6 Cu 2.52
Cu 0.5846 0.0807 0.5846  7 Cu 2.51-2.56
Cu 0.5846 0.5846 0.0807  7 Cu 2.51-2.56
Cu 0.6662 0.6662 0.6662  6 Cu 2.51
Cu 0.9193 0.4154 0.4154  7 Cu 2.51-2.56
Sn 0.1387 0.1387 0.1387  12 Cu 2.88-3.09
Sn 0.8613 0.8613 0.8613  12 Cu 2.88-3.09



Entry 6:
A plane-wave DFT calculation with PBE was carried out for Li2CuPO4 after structural relaxation.

Output
- Calculated volume: 11.2 Å³/atom
- Total DFT energy (no corrections): -0.447 Ry/atom
- ΔE to the lowest computed polymorph: 0.023 eV/atom

Cell lengths 5.0720, 5.0720, 12.0328 Å; angles 90.00, 90.00, 120.00 degrees
Closest atoms and distances in Å follow each position.
Atoms (fractional coordinates):
Li 0.0913 0.4360 0.4183  4 O 1.96-2.09
Li 0.3447 0.9087 0.0849  4 O 1.96-2.09
Li 0.4360 0.0913 0.5817  4 O 1.96-2.09
Li 0.5640 0.6553 0.7516  4 O 1.96-2.09
Li 0.6553 0.5640 0.2484  4 O 1.96-2.09
Li 0.9087 0.3447 0.9151  4 O 1.96-2.09
Cu 0.0000 0.2294 0.6667  2 O 1.89
Cu 0.2294 0.0000 0.3333  2 O 1.89
Cu 0.7706 0.7706 0.0000  2 O 1.89
P 0.0000 0.2425 0.1667  4 O 1.54-1.59
P 0.2425 0.0000 0.8333  4 O 1.54-1.59
P 0.7575 0.7575 0.5000  4 O 1.54-1.59
O 0.0796 0.4531 0.0653  1 P 1.54
O 0.0876 0.8086 0.4731  1 P 1.59
O 0.1914 0.2791 0.8064  1 P 1.59
O 0.2791 0.1914 0.1936  1 P 1.59
O 0.3735 0.9204 0.7320  1 P 1.54
O 0.4531 0.0796 0.9347  1 P 1.54
O 0.5469 0.6265 0.3987  1 P 1.54
O 0.6265 0.5469 0.6013  1 P 1.54
O 0.7209 0.9124 0.1398  1 P 1.59
O 0.8086 0.0876 0.5269  1 P 1.59
O 0.9124 0.7209 0.8602  1 P 1.59
O 0.9204 0.3735 0.2680  1 P 1.54



Entry 7:
A plane-wave DFT calculation with PBE was carried out for LaZrIn2Ir after structural relaxation.

Output
- Calculated volume: 27.4 Å³/atom
- Energy of formation from the pure elements: -0.51 eV/f.u.
- Total DFT energy (no corrections): -0.416 Ry/atom

Cell lengths 5.1560, 5.1560, 5.1608 Å; angles 90.00, 90.00, 90.00 degrees
Closest atoms and distances in Å follow each position.
Atoms (fractional coordinates):
La 0.0000 0.0000 0.0000  4 Zr 3.65, 8 In 3.65
Zr 0.5000 0.5000 0.0000  2 Ir 2.58
In 0.0000 0.5000 0.5000  2 Ir 2.58
In 0.5000 0.0000 0.5000  2 Ir 2.58
Ir 0.5000 0.5000 0.5000  4 In 2.58, 2 Zr 2.58



Entry 8:
A plane-wave DFT calculation with PBE was carried out for Pr3Tm8Th after structural relaxation.

Output
- Calculated volume: 34.5 Å³/atom
- Energy of formation from the pure elements: 3.50 eV/f.u.
- Total DFT energy (no corrections): -0.331 Ry/atom

Cell lengths 8.6755, 8.6755, 8.6755 Å; angles 137.07, 98.43, 96.96 degrees
Closest atoms and distances in Å follow each position.
Atoms (fractional coordinates):
Pr 0.0000 0.0000 0.0000  8 Tm 3.29-3.48
Pr 0.2601 0.5000 0.7601  6 Tm 3.75-3.76, 2 Th 4.18
Pr 0.7399 0.5000 0.2399  6 Tm 3.75-3.76, 2 Th 4.18
Tm 0.0785 0.8267 0.2518  6 Tm 3.34-3.63, 1 Th 3.45, 1 Pr 3.48
Tm 0.2504 0.5015 0.2512  6 Tm 3.16-3.39, 1 Th 3.28, 1 Pr 3.29
Tm 0.2504 0.9992 0.7488  6 Tm 3.16-3.39, 1 Th 3.28, 1 Pr 3.29
Tm 0.4251 0.1733 0.2518  6 Tm 3.34-3.63, 1 Th 3.45, 1 Pr 3.48
Tm 0.5749 0.8267 0.7482  6 Tm 3.34-3.63, 1 Th 3.45, 1 Pr 3.48
Tm 0.7496 0.0008 0.2512  6 Tm 3.16-3.39, 1 Th 3.28, 1 Pr 3.29
Tm 0.7496 0.4985 0.7488  6 Tm 3.16-3.39, 1 Th 3.28, 1 Pr 3.29
Tm 0.9215 0.1733 0.7482  6 Tm 3.34-3.63, 1 Th 3.45, 1 Pr 3.48
Th 0.5000 0.0000 0.5000  8 Tm 3.28-3.45



Entry 9:
A plane-wave DFT calculation with PBE was carried out for InSiI2N after structural relaxation.

Output
- Calculated volume: 26.4 Å³/atom
- Total DFT energy (no corrections): -0.281 Ry/atom
- ΔE to the lowest computed polymorph: 0.000 eV/atom

Cell lengths 6.2819, 6.2819, 3.3481 Å; angles 90.00, 90.00, 90.00 degrees
Closest atoms and distances in Å follow each position.
Atoms (fractional coordinates):
In 0.0000 0.0000 0.0000  2 In 3.35, 8 I 3.56
Si 0.5000 0.5000 0.5000  2 N 1.67
I 0.0000 0.5000 0.5000  2 Si 3.14, 2 I 3.35
I 0.5000 0.0000 0.5000  2 Si 3.14, 2 I 3.35
N 0.5000 0.5000 0.0000  2 Si 1.67



Entry 10:
A plane-wave DFT calculation with PBE was carried out for YMnIr2 after structural relaxation.

Output
- Calculated volume: 17.5 Å³/atom
- Energy of formation from the pure elements: -0.48 eV/f.u.
- Total DFT energy (no corrections): -0.622 Ry/atom

Cell lengths 2.9880, 3.9672, 5.9218 Å; angles 90.00, 90.00, 90.00 degrees
Closest atoms and distances in Å follow each position.
Atoms (fractional coordinates):
Y 0.0000 0.0000 0.0000  6 Ir 2.88-3.03, 2 Y 2.99, 4 Mn 3.19
Mn 0.5000 0.5000 0.6625  5 Ir 2.46-2.64
Ir 0.0000 0.0000 0.5114  4 Mn 2.64, 1 Y 2.89, 4 Ir 2.94
Ir 0.5000 0.5000 0.2465  1 Mn 2.46



Entry 11:
A plane-wave DFT calculation with PBE was carried out for Mn3Zn2Ga2 after structural relaxation.

Output
- Calculated volume: 14.1 Å³/atom
- Energy of formation from the pure elements: 0.07 eV/f.u.
- Total DFT energy (no corrections): -0.378 Ry/atom

Cell lengths 4.0336, 4.9748, 5.4031 Å; angles 95.48, 90.04, 113.83 degrees
Closest atoms and distances in Å follow each position.
Atoms (fractional coordinates):
Mn 0.0000 0.0000 0.0000  4 Ga 2.60, 2 Zn 2.63, 2 Mn 2.78
Mn 0.1466 0.2932 0.5730  3 Ga 2.58-2.65, 3 Zn 2.60-2.81, 2 Mn 2.70-2.78
Mn 0.8534 0.7068 0.4270  3 Ga 2.58-2.65, 3 Zn 2.60-2.81, 2 Mn 2.70-2.78
Zn 0.2857 0.5717 0.1334  2 Zn 2.52-2.53, 2 Ga 2.60-2.80, 4 Mn 2.60-2.81
Zn 0.7143 0.4283 0.8666  2 Zn 2.52-2.53, 2 Ga 2.60-2.80, 4 Mn 2.60-2.81
Ga 0.4350 0.8700 0.7061  5 Mn 2.58-2.65, 2 Zn 2.60-2.80, 1 Ga 2.63
Ga 0.5650 0.1300 0.2939  5 Mn 2.58-2.65, 2 Zn 2.60-2.80, 1 Ga 2.63